# 1
Computed, not measured: Tm3ThHg4 after structural relaxation at the GGA-PBE level of DFT.

The total energy is -3.139 eV per atom. For the energy of formation from the pure elements, the calculation gives -384 meV per atom. The density of states at the Fermi level is 7.5 states/eV/cell. Its volume is 25.7 Å³/atom. As for the magnetization: 0.1292 μB/atom.

It has space group P4/mmm (No. 123), with a = 5.2002 Å, b = 5.2002 Å, c = 7.6115 Å, α = 90.00°, β = 90.00° and γ = 90.00°. The inequivalent atoms are Tm at (0.0000, 0.0000, 0.0000), Tm at (0.0000, 0.0000, 0.5000), Tm at (0.5000, 0.5000, 0.0000), Th at (0.5000, 0.5000, 0.5000) and Hg at (0.0000, 0.5000, 0.2352).


# 2
Computed, not measured: TmThHg3 after structural relaxation at the GGA-PBE level of DFT.

The total energy is -2.706 eV per atom. For the energy of formation from the pure elements, the calculation gives -147 meV per atom. The density of states at the Fermi level is 11.9 states/eV/cell. Its volume is 27.0 Å³/atom. As for the magnetization: 0.0000 μB/atom.

It has space group Imma (No. 74), with a = 5.3695 Å, b = 6.3495 Å, c = 15.8285 Å, α = 90.00°, β = 90.00° and γ = 90.00°. The inequivalent atoms are Tm at (0.0000, 0.2500, 0.1050), Th at (0.0000, 0.2500, 0.6891), Hg at (0.0000, 0.2500, 0.2956), Hg at (0.0000, 0.2500, 0.4889) and Hg at (0.0000, 0.2500, 0.9081).


# 3
Computed, not measured: Tm2ThHg8 after structural relaxation at the GGA-PBE level of DFT.

The total energy is -1.935 eV per atom. For the energy of formation from the pure elements, the calculation gives -228 meV per atom. The density of states at the Fermi level is 11.9 states/eV/cell. Its volume is 25.2 Å³/atom. As for the magnetization: 0.0000 μB/atom.

It has space group Immm (No. 71), with a = 5.0985 Å, b = 7.6896 Å, c = 14.1580 Å, α = 90.00°, β = 90.00° and γ = 90.00°. The inequivalent atoms are Tm at (0.0000, 0.0000, 0.1978), Th at (0.0000, 0.0000, 0.5000), Hg at (0.0000, 0.2008, 0.0000), Hg at (0.0000, 0.2968, 0.3502) and Hg at (0.0000, 0.5000, 0.1552).


# 4
Computed, not measured: TmThHg6 after structural relaxation at the GGA-PBE level of DFT.

The total energy is -1.974 eV per atom. For the energy of formation from the pure elements, the calculation gives -261 meV per atom. The density of states at the Fermi level is 11.6 states/eV/cell. Its volume is 24.6 Å³/atom. As for the magnetization: 0.0000 μB/atom.

It has space group Amm2 (No. 38), with a = 4.9876 Å, b = 6.7542 Å, c = 11.6832 Å, α = 90.00°, β = 90.00° and γ = 90.00°. The inequivalent atoms are Tm at (0.0000, 0.0000, 0.0000), Th at (0.5000, 0.0000, 0.6682), Hg at (0.0000, 0.0000, 0.4964), Hg at (0.0000, 0.2417, 0.2533), Hg at (0.5000, 0.0000, 0.1649) and Hg at (0.5000, 0.2476, 0.9188).